A plane-wave DFT calculation with GGA-PBE was carried out for a relaxed Sc2ReIrCl crystal.

Cell lengths 4.632, 4.285, 4.632 Å; angles 90.00, 90.00, 90.00 degrees
Sites, in units of the cell vectors:
Sc1 0.500 0.000 0.000
Sc2 0.000 0.000 0.500
Re1 0.000 0.500 0.000
Ir1 0.500 0.500 0.500
Cl1 0.000 0.000 0.000

Properties
- uncorrected formation energy (meV/atom) = 332
- calculated total energy (eV/cell) = -34.2
- polymorph energy (0 for the lowest one) (meV/atom) = 0.0
- theoretical density (Mg/m³) = 9.099
- density of states at the Fermi level (states/eV/cell) = 5.55